P.
VASP calculation (PBE) on a geometry-optimized Th2TeS structure.

Cell and atoms, written as POSCAR:
```
Th2TeS
1.0
4.153 0.000 0.000
2.077 3.597 0.000
2.077 1.199 7.322
S Te Th
1 1 2
Direct
0.000 0.000 0.000 S
0.500 0.500 0.500 Te
0.736 0.736 0.792 Th
0.264 0.264 0.208 Th
```

Results
Its space-group type is R-3m (166). The value obtained for the density of states at the Fermi level is 3.72 states/eV/f.u.

***

Q.
VASP calculation (PBE) on a geometry-optimized Th2TeS structure.

Cell and atoms, written as POSCAR:
```
Th2TeS
1.0
4.023 0.000 0.000
2.012 3.484 0.000
2.012 1.161 7.835
Th S Te
2 1 1
Direct
0.263 0.263 0.212 Th
0.072 0.072 0.785 Th
0.666 0.666 0.001 S
0.499 0.499 0.502 Te
```

Results
Its space-group type is R3m (160). The value obtained for the density of states at the Fermi level is 3.82 states/eV/f.u.

***

P ends up most stable, edging out the next structure by 35 meV per atom.

***

P.
VASP calculation (PBE) on a geometry-optimized ThTeS structure.

Cell and atoms, written as POSCAR:
```
ThTeS
1.0
-2.014 3.370 -3.195
-4.163 -1.177 -2.626
-4.408 2.223 1.115
Te Th S
1 1 1
Direct
0.000 0.000 0.000 Te
0.250 0.250 0.250 Th
0.500 0.500 0.500 S
```

Results
Its space-group type is F-43m (216). The value obtained for the density of states at the Fermi level is 0.00 states/eV/f.u.

***

Q.
VASP calculation (PBE) on a geometry-optimized ThTeS structure.

Cell and atoms, written as POSCAR:
```
ThTeS
1.0
-1.799 -1.361 3.748
6.903 -6.232 1.051
5.012 6.347 4.711
Th Te S
4 4 4
Direct
0.000 0.911 0.311 Th
0.500 0.311 0.089 Th
0.000 0.089 0.689 Th
0.500 0.689 0.911 Th
0.500 0.180 0.431 Te
0.500 0.820 0.569 Te
0.000 0.569 0.180 Te
0.000 0.431 0.820 Te
0.500 0.868 0.149 S
0.000 0.851 0.868 S
0.500 0.132 0.851 S
0.000 0.149 0.132 S
```

Results
Its space-group type is P4_2/m (84). The value obtained for the density of states at the Fermi level is 0.01 states/eV/f.u.

***

R.
VASP calculation (PBE) on a geometry-optimized ThTeS structure.

Cell and atoms, written as POSCAR:
```
ThTeS
1.0
3.847 0.000 0.000
0.000 3.847 0.000
-1.923 -1.923 5.268
S Th Te
1 1 1
Direct
0.301 0.301 0.602 S
0.689 0.689 0.378 Th
0.010 0.010 0.020 Te
```

Results
Its space-group type is I4mm (107). The value obtained for the density of states at the Fermi level is 1.54 states/eV/f.u.

***

Q ends up most stable, edging out the next structure by 80 meV per atom.